# Ac2Mg4CdHg3 | the Alexandria database | PBE-GGA | optimized geometry
data_Ac2Mg4CdHg3
_chemical_formula_sum 'Ac2 Mg4 Cd1 Hg3'
_cell_length_a 4.839
_cell_length_b 4.839
_cell_length_c 11.495
_cell_angle_alpha 90.00
_cell_angle_beta 90.00
_cell_angle_gamma 90.00
_symmetry_space_group_name_H-M 'P -4 m 2'
_symmetry_Int_Tables_number 115
loop_
_symmetry_equiv_pos_as_xyz
'x,y,z'
'y,-x,-z'
'-x,-y,z'
'-y,x,-z'
'-x,y,z'
'-y,-x,-z'
'x,-y,z'
'y,x,-z'
loop_
_atom_site_label
_atom_site_type_symbol
_atom_site_fract_x
_atom_site_fract_y
_atom_site_fract_z
Ac1 Ac 0.000 0.500 0.246
Mg1 Mg 0.000 0.000 0.500
Mg2 Mg 0.000 0.500 0.870
Mg3 Mg 0.500 0.500 0.500
Cd1 Cd 0.500 0.500 0.000
Hg1 Hg 0.000 0.000 0.000
Hg2 Hg 0.000 0.500 0.633
# - formation enthalpy at 0 K (eV per atom) = -0.31
# - energy (eV/cell) = -19.49
# - calculated volume (Å³/cell) = 269
# - size of the total moment (μB/f.u.) = 0.000